{"formula": "AcPmCu4", "functional": "GGA-PBE", "state": "relaxed", "cell": [[-1.595, 3.504, -0.683], [-3.293, -1.923, -2.176], [-3.859, -0.528, 6.304]], "species": ["Pm", "Cu", "Cu", "Cu", "Cu", "Ac"], "fractional_positions": [[0.998, 0.497, 0.998], [0.499, 0.497, 0.674], [0.499, 0.497, 0.323], [0.499, 0.997, 0.835], [0.499, 0.997, 0.161], [0.998, 0.997, 0.498]], "e_above_lowest_polymorph_mev_per_atom": 0, "vol_a3_per_atom": 21.20, "delta_e_f_kj_per_mol_fu": -118}